i) This record from the Alexandria database describes a relaxed structure of Re3Ag5. The functional is PBE.

total magnetization = 0.00 μB/f.u.
N(E_F) = 17.38 states/eV per cell

Geometry as CIF:
```
data_Re3Ag5
_chemical_formula_sum 'Re6 Ag10'
_cell_length_a 8.1438
_cell_length_b 8.1438
_cell_length_c 4.8698
_cell_angle_alpha 90.00
_cell_angle_beta 90.00
_cell_angle_gamma 120.00
_space_group_name_H-M_alt 'P 63/m c m'
_space_group_IT_number 193
_space_group_name_Hall '-P 6c 2'
loop_
_atom_site_label
_atom_site_type_symbol
_atom_site_fract_x
_atom_site_fract_y
_atom_site_fract_z
Re1 Re 0.0000 0.4254 0.2500
Ag1 Ag 0.0000 0.2134 0.7500
Ag2 Ag 0.3333 0.6667 0.0000
```

ii) This record from the Alexandria database describes a relaxed structure of Re3Ag5. The functional is PBE.

total magnetization = 0.51 μB/f.u.
N(E_F) = 23.05 states/eV per cell

Geometry as CIF:
```
data_Re3Ag5
_chemical_formula_sum 'Re12 Ag20'
_cell_length_a 5.395
_cell_length_b 20.409
_cell_length_c 5.505
_cell_angle_alpha 90.00
_cell_angle_beta 117.69
_cell_angle_gamma 90.00
_space_group_name_H-M_alt 'C 1 m 1'
_space_group_IT_number 8
loop_
_space_group_symop_operation_xyz
'x,y,z'
'x,-y,z'
'x+1/2,y+1/2,z'
'x+1/2,-y+1/2,z'
loop_
_atom_site_label
_atom_site_type_symbol
_atom_site_fract_x
_atom_site_fract_y
_atom_site_fract_z
Re1 Re 0.000 0.000 0.000
Re2 Re 0.019 0.267 0.908
Re3 Re 0.043 0.236 0.392
Re4 Re 0.431 0.000 0.001
Ag1 Ag 0.276 0.137 0.150
Ag2 Ag 0.276 0.388 0.147
Ag3 Ag 0.280 0.115 0.654
Ag4 Ag 0.281 0.358 0.652
Ag5 Ag 0.454 0.500 0.481
Ag6 Ag 0.483 0.000 0.521
```

Top of the stability list: ii), leading by 413 meV/atom.